This record from Alexandria describes a relaxed LiTlSN2 crystal. The functional is GGA-PBE.

Geometry as POSCAR:
```
LiTlSN2
1.0
-1.291 2.708 3.258
-4.164 -1.438 -0.455
0.955 -3.912 3.630
N Tl Li S
2 1 1 1
Direct
0.500 0.000 0.000 N
0.000 0.500 0.000 N
0.000 0.000 0.000 Tl
0.500 0.500 0.500 Li
0.000 0.000 0.500 S
```

Properties
Formation energy from raw total energies (meV per atom): 1445
Theoretical density (g cm⁻³): 4.238
Space group: P4/mmm
Excess energy over the best structure of this formula in the dataset (eV per formula unit): 0.01
Spin magnetization (Bohr magnetons per cell): 3.81
Final energy (eV/atom): -3.567

=====

This record from Alexandria describes a relaxed LiTlSN2 crystal. The functional is GGA-PBE.

Geometry as POSCAR:
```
LiTlSN2
1.0
-0.261 -4.106 0.422
3.875 -0.390 -1.391
1.691 0.366 4.607
S N Tl Li
1 2 1 1
Direct
0.000 0.000 0.500 S
0.500 0.000 0.000 N
0.000 0.500 0.000 N
0.500 0.500 0.500 Tl
0.000 0.000 0.000 Li
```

Properties
Formation energy from raw total energies (meV per atom): 1442
Theoretical density (g cm⁻³): 5.355
Space group: P4/mmm
Excess energy over the best structure of this formula in the dataset (eV per formula unit): 0.00
Spin magnetization (Bohr magnetons per cell): 4.87
Final energy (eV/atom): -3.569

=====

This record from Alexandria describes a relaxed LiUSN crystal. The functional is GGA-PBE.

Geometry as POSCAR:
```
LiUSN
1.0
-1.018 -1.896 -3.185
-1.135 -3.666 0.225
-10.200 1.158 0.249
S U N Li
2 2 2 2
Direct
0.389 0.389 0.833 S
0.611 0.611 0.167 S
0.880 0.880 0.360 U
0.120 0.120 0.640 U
0.804 0.804 0.587 N
0.196 0.196 0.413 N
0.695 0.695 0.915 Li
0.305 0.305 0.085 Li
```

Properties
Formation energy from raw total energies (meV per atom): -1451
Theoretical density (g cm⁻³): 7.534
Space group: R-3m
Spin magnetization (Bohr magnetons per cell): 4.01
Final energy (eV/atom): -7.864

=====

This record from Alexandria describes a relaxed LiVSN2 crystal. The functional is GGA-PBE.

Geometry as POSCAR:
```
LiVSN2
1.0
3.733 0.000 0.000
0.000 3.733 0.000
0.000 0.000 4.933
Li N V S
1 2 1 1
Direct
0.500 0.500 0.500 Li
0.500 0.000 0.000 N
0.000 0.500 0.000 N
0.000 0.000 0.000 V
0.000 0.000 0.500 S
```

Properties
Formation energy from raw total energies (meV per atom): -26
Theoretical density (g cm⁻³): 2.849
Space group: P4/mmm
Excess energy over the best structure of this formula in the dataset (eV per formula unit): 0.00
Spin magnetization (Bohr magnetons per cell): 0.92
Final energy (eV/atom): -6.388